Entry 1:
The following is a DFT calculation (PBE-GGA) of crystalline DyTcS at its relaxed geometry.

```
data_DyTcS
_chemical_formula_sum 'Dy2 Tc2 S2'
_cell_length_a 3.6323
_cell_length_b 3.6323
_cell_length_c 8.6689
_cell_angle_alpha 90.00
_cell_angle_beta 90.00
_cell_angle_gamma 90.00
_space_group_name_H-M_alt 'P 1'
_space_group_IT_number 1
loop_
_space_group_symop_operation_xyz
'x,y,z'
loop_
_atom_site_label
_atom_site_type_symbol
_atom_site_fract_x
_atom_site_fract_y
_atom_site_fract_z
_atom_site_occupancy
Dy1 Dy 0.0000 0.5000 0.7097 1
Dy2 Dy 0.5000 0.0000 0.2903 1
S1 S 0.5000 0.0000 0.6409 1
S2 S 0.0000 0.5000 0.3591 1
Tc1 Tc 0.0000 0.5000 0.0650 1
Tc2 Tc 0.5000 0.0000 0.9350 1
```

- SG: P4/nmm, No. 129
- Total moment: 0.0 μB per formula unit
- Electronic total energy: -7.26 eV per atom

***

Entry 2:
The following is a DFT calculation (PBE-GGA) of crystalline AsBrCl2 at its relaxed geometry.

```
data_AsBrCl2
_chemical_formula_sum 'As1 Br1 Cl2'
_cell_length_a 8.6511
_cell_length_b 6.4640
_cell_length_c 3.4660
_cell_angle_alpha 57.61
_cell_angle_beta 113.57
_cell_angle_gamma 140.93
_space_group_name_H-M_alt 'P 1'
_space_group_IT_number 1
loop_
_space_group_symop_operation_xyz
'x,y,z'
loop_
_atom_site_label
_atom_site_type_symbol
_atom_site_fract_x
_atom_site_fract_y
_atom_site_fract_z
_atom_site_occupancy
As1 As 0.0000 0.5000 0.5000 1
Br1 Br 0.5000 0.5000 0.0000 1
Cl1 Cl 0.0000 0.0000 0.0000 1
Cl2 Cl 0.5000 0.0000 0.5000 1
```

- SG: Cmmm, No. 65
- Total moment: 0.0 μB per formula unit
- Electronic total energy: -2.20 eV per atom

***

Entry 3:
The following is a DFT calculation (PBE-GGA) of crystalline Li2La3Ga8 at its relaxed geometry.

```
data_Li2La3Ga8
_chemical_formula_sum 'Li2 La3 Ga8'
_cell_length_a 7.2170
_cell_length_b 7.1769
_cell_length_c 10.8208
_cell_angle_alpha 49.65
_cell_angle_beta 49.60
_cell_angle_gamma 49.11
_space_group_name_H-M_alt 'P 1'
_space_group_IT_number 1
loop_
_space_group_symop_operation_xyz
'x,y,z'
loop_
_atom_site_label
_atom_site_type_symbol
_atom_site_fract_x
_atom_site_fract_y
_atom_site_fract_z
_atom_site_occupancy
Li1 Li 0.3567 0.3659 0.7957 1
Li2 Li 0.6433 0.6341 0.2043 1
La1 La 0.0000 0.0000 0.0000 1
La2 La 0.1896 0.1831 0.3153 1
La3 La 0.8104 0.8169 0.6847 1
Ga1 Ga 0.4665 0.4636 0.9172 1
Ga2 Ga 0.5335 0.5364 0.0828 1
Ga3 Ga 0.3182 0.8784 0.6567 1
Ga4 Ga 0.8791 0.3158 0.6570 1
Ga5 Ga 0.3269 0.3315 0.5824 1
Ga6 Ga 0.1209 0.6842 0.3430 1
Ga7 Ga 0.6818 0.1216 0.3433 1
Ga8 Ga 0.6731 0.6685 0.4176 1
```

- SG: P-1, No. 2
- Total moment: 0.0 μB per formula unit
- ΔH_f (0 K): -0.411 eV/atom
- Electronic total energy: -3.71 eV per atom

***

Entry 4:
The following is a DFT calculation (PBE-GGA) of crystalline Os2RuBr at its relaxed geometry.

```
data_Os2RuBr
_chemical_formula_sum 'Os2 Ru1 Br1'
_cell_length_a 2.8027
_cell_length_b 2.8027
_cell_length_c 9.7920
_cell_angle_alpha 90.00
_cell_angle_beta 90.00
_cell_angle_gamma 120.94
_space_group_name_H-M_alt 'P 1'
_space_group_IT_number 1
loop_
_space_group_symop_operation_xyz
'x,y,z'
loop_
_atom_site_label
_atom_site_type_symbol
_atom_site_fract_x
_atom_site_fract_y
_atom_site_fract_z
_atom_site_occupancy
Ru1 Ru 0.0000 0.0000 0.4813 1
Os1 Os 0.0000 0.0000 0.0302 1
Os2 Os 0.5000 0.5000 0.2555 1
Br1 Br 0.5000 0.5000 0.7330 1
```

- SG: Cmm2, No. 35
- Total moment: 0.0 μB per formula unit
- Electronic total energy: -7.32 eV per atom

***

Entry 5:
The following is a DFT calculation (PBE-GGA) of crystalline CsSmGaTe3 at its relaxed geometry.

```
data_CsSmGaTe3
_chemical_formula_sum 'Cs2 Sm2 Ga2 Te6'
_cell_length_a 4.7822
_cell_length_b 10.1855
_cell_length_c 10.9568
_cell_angle_alpha 109.22
_cell_angle_beta 90.00
_cell_angle_gamma 90.00
_space_group_name_H-M_alt 'P 1'
_space_group_IT_number 1
loop_
_space_group_symop_operation_xyz
'x,y,z'
loop_
_atom_site_label
_atom_site_type_symbol
_atom_site_fract_x
_atom_site_fract_y
_atom_site_fract_z
_atom_site_occupancy
Cs1 Cs 0.2500 0.2044 0.2419 1
Cs2 Cs 0.7500 0.7956 0.7581 1
Sm1 Sm 0.2500 0.6603 0.1342 1
Sm2 Sm 0.7500 0.3397 0.8658 1
Ga1 Ga 0.2500 0.0914 0.6027 1
Ga2 Ga 0.7500 0.9086 0.3973 1
Te1 Te 0.7500 0.8737 0.1395 1
Te2 Te 0.2500 0.1263 0.8605 1
Te3 Te 0.2500 0.7978 0.4511 1
Te4 Te 0.7500 0.2022 0.5489 1
Te5 Te 0.7500 0.4662 0.1634 1
Te6 Te 0.2500 0.5338 0.8366 1
```

- SG: P2_1/m, No. 11
- Total moment: 0.0 μB per formula unit
- Electronic total energy: -3.99 eV per atom

***

Entry 6:
The following is a DFT calculation (PBE-GGA) of crystalline SrH2Ir at its relaxed geometry.

```
data_SrH2Ir
_chemical_formula_sum 'Sr1 H2 Ir1'
_cell_length_a 4.2382
_cell_length_b 4.2382
_cell_length_c 4.2382
_cell_angle_alpha 60.00
_cell_angle_beta 60.00
_cell_angle_gamma 60.00
_space_group_name_H-M_alt 'P 1'
_space_group_IT_number 1
loop_
_space_group_symop_operation_xyz
'x,y,z'
loop_
_atom_site_label
_atom_site_type_symbol
_atom_site_fract_x
_atom_site_fract_y
_atom_site_fract_z
_atom_site_occupancy
Sr1 Sr 0.0000 0.0000 0.0000 1
Ir1 Ir 0.5000 0.5000 0.5000 1
H1 H 0.2500 0.2500 0.2500 1
H2 H 0.7500 0.7500 0.7500 1
```

- SG: Fm-3m, No. 225
- Total moment: 0.0 μB per formula unit
- Electronic total energy: -3.81 eV per atom

***

Entry 7:
The following is a DFT calculation (PBE-GGA) of crystalline Th6Ge2RhSe3 at its relaxed geometry.

```
data_Th6Ge2RhSe3
_chemical_formula_sum 'Th6 Ge2 Rh1 Se3'
_cell_length_a 4.1992
_cell_length_b 8.6056
_cell_length_c 9.4909
_cell_angle_alpha 102.11
_cell_angle_beta 102.78
_cell_angle_gamma 90.00
_space_group_name_H-M_alt 'P 1'
_space_group_IT_number 1
loop_
_space_group_symop_operation_xyz
'x,y,z'
loop_
_atom_site_label
_atom_site_type_symbol
_atom_site_fract_x
_atom_site_fract_y
_atom_site_fract_z
_atom_site_occupancy
Th1 Th 0.3381 0.9130 0.6762 1
Th2 Th 0.6690 0.5789 0.3379 1
Th3 Th 0.6619 0.0870 0.3238 1
Th4 Th 0.0011 0.2298 0.0022 1
Th5 Th 0.9989 0.7702 0.9978 1
Th6 Th 0.3310 0.4211 0.6621 1
Ge1 Ge 0.8341 0.6659 0.6682 1
Ge2 Ge 0.1659 0.3341 0.3318 1
Rh1 Rh 0.5000 0.0000 0.0000 1
Se1 Se 0.5000 0.5000 0.0000 1
Se2 Se 0.8307 0.1661 0.6614 1
Se3 Se 0.1693 0.8339 0.3386 1
```

- SG: C2/m, No. 12
- Total moment: 0.0 μB per formula unit
- Electronic total energy: -7.16 eV per atom

***

Entry 8:
The following is a DFT calculation (PBE-GGA) of crystalline Ga3SnSb at its relaxed geometry.

```
data_Ga3SnSb
_chemical_formula_sum 'Ga3 Sn1 Sb1'
_cell_length_a 5.2490
_cell_length_b 5.2490
_cell_length_c 5.2490
_cell_angle_alpha 90.00
_cell_angle_beta 90.00
_cell_angle_gamma 90.00
_space_group_name_H-M_alt 'P 1'
_space_group_IT_number 1
loop_
_space_group_symop_operation_xyz
'x,y,z'
loop_
_atom_site_label
_atom_site_type_symbol
_atom_site_fract_x
_atom_site_fract_y
_atom_site_fract_z
_atom_site_occupancy
Sb1 Sb 0.5000 0.5000 0.5000 1
Sn1 Sn 0.0000 0.0000 0.0000 1
Ga1 Ga 0.0000 0.5000 0.0000 1
Ga2 Ga 0.0000 0.0000 0.5000 1
Ga3 Ga 0.5000 0.0000 0.0000 1
```

- SG: Pm-3m, No. 221
- Total moment: 0.0 μB per formula unit
- Electronic total energy: -2.95 eV per atom

***

Entry 9:
The following is a DFT calculation (PBE-GGA) of crystalline CsInTe2 at its relaxed geometry.

```
data_CsInTe2
_chemical_formula_sum 'Cs4 In4 Te8'
_cell_length_a 21.6820
_cell_length_b 7.0756
_cell_length_c 8.0824
_cell_angle_alpha 90.00
_cell_angle_beta 140.43
_cell_angle_gamma 90.00
_space_group_name_H-M_alt 'P 1'
_space_group_IT_number 1
loop_
_space_group_symop_operation_xyz
'x,y,z'
loop_
_atom_site_label
_atom_site_type_symbol
_atom_site_fract_x
_atom_site_fract_y
_atom_site_fract_z
_atom_site_occupancy
Cs1 Cs 0.1921 0.9998 0.8250 1
Cs2 Cs 0.8079 0.0002 0.1750 1
Cs3 Cs 0.3079 0.4998 0.6750 1
Cs4 Cs 0.6921 0.5002 0.3250 1
Te1 Te 0.8470 0.0000 0.7656 1
Te2 Te 0.1530 0.0000 0.2344 1
Te3 Te 0.6530 0.5000 0.7344 1
Te4 Te 0.3470 0.5000 0.2656 1
Te5 Te 0.0507 0.5000 0.3662 1
Te6 Te 0.9493 0.5000 0.6338 1
Te7 Te 0.4493 0.0000 0.1338 1
Te8 Te 0.5507 0.0000 0.8662 1
In1 In 0.5000 0.2474 0.5001 1
In2 In 0.5000 0.7526 0.4999 1
In3 In 0.0000 0.7474 0.9999 1
In4 In 0.0000 0.2526 0.0001 1
```

- SG: C2/m, No. 12
- Total moment: 0.0 μB per formula unit
- Electronic total energy: -3.18 eV per atom

***

Entry 10:
The following is a DFT calculation (PBE-GGA) of crystalline Li2CdAu3 at its relaxed geometry.

```
data_Li2CdAu3
_chemical_formula_sum 'Li4 Cd2 Au6'
_cell_length_a 4.2148
_cell_length_b 4.8543
_cell_length_c 11.4739
_cell_angle_alpha 78.50
_cell_angle_beta 89.42
_cell_angle_gamma 116.19
_space_group_name_H-M_alt 'P 1'
_space_group_IT_number 1
loop_
_space_group_symop_operation_xyz
'x,y,z'
loop_
_atom_site_label
_atom_site_type_symbol
_atom_site_fract_x
_atom_site_fract_y
_atom_site_fract_z
_atom_site_occupancy
Li1 Li 0.0000 0.0000 0.5000 1
Li2 Li 0.3387 0.6768 0.1631 1
Li3 Li 0.6613 0.3232 0.8369 1
Li4 Li 0.0000 0.0000 0.0000 1
Cd1 Cd 0.3292 0.6575 0.6707 1
Cd2 Cd 0.6708 0.3425 0.3293 1
Au1 Au 0.3386 0.6772 0.4168 1
Au2 Au 0.6687 0.3390 0.0760 1
Au3 Au 0.9964 0.9909 0.7637 1
Au4 Au 0.0036 0.0091 0.2363 1
Au5 Au 0.3313 0.6610 0.9240 1
Au6 Au 0.6614 0.3228 0.5832 1
```

- SG: P-1, No. 2
- Total moment: 0.0 μB per formula unit
- ΔH_f (0 K): -0.428 eV/atom
- Electronic total energy: -2.86 eV per atom